# 1
A relaxed structure of Rb2ScH, computed with PBE.

## Properties
Energy (eV/atom): -1.94
Polymorph energy (0 for the lowest one) (meV per atom): 554.7
Calculated volume (A^3/atom): 46.31
Crystal system: cubic
DOS(E_F) (states/eV per cell): 27.95
Total moment (Bohr magnetons per cell): 1.9

a b c (Å): 6.3987 6.3987 6.3987
angles (deg): 60.00 60.00 60.00
Closest atoms and distances in Å follow each position.
Fractional coordinates of all 4 atoms:
Rb (0.2500, 0.2500, 0.2500)  4 H 3.92, 4 Sc 3.92
Rb (0.7500, 0.7500, 0.7500)  4 Sc 3.92, 4 H 3.92
Sc (0.0000, 0.0000, 0.0000)  8 Rb 3.92
H (0.5000, 0.5000, 0.5000)  8 Rb 3.92


# 2
A relaxed structure of Sc2WNCl, computed with PBE.

## Properties
Energy (eV/atom): -5.89
Formation energy (no corrections) (eV per atom): 1.27
Calculated volume (A^3/atom): 23.10
Crystal system: tetragonal
DOS(E_F) (states/eV per cell): 5.14
Total moment (Bohr magnetons per cell): 0.0

a b c (Å): 5.1450 5.1450 4.3639
angles (deg): 90.00 90.00 90.00
Closest atoms and distances in Å follow each position.
Fractional coordinates of all 5 atoms:
Sc (0.0000, 0.5000, 0.0000)  2 W 2.57
Sc (0.5000, 0.0000, 0.0000)  2 W 2.57
W (0.0000, 0.0000, 0.0000)  2 Cl 2.18
N (0.5000, 0.5000, 0.5000)  8 Sc 3.37, 4 Cl 3.64
Cl (0.0000, 0.0000, 0.5000)  2 W 2.18


# 3
A relaxed structure of Hf2ZnIn, computed with PBE.

## Properties
Calculated formation energy (eV/f.u.): -0.5
Energy (eV/atom): -6.12
Calculated volume (A^3/atom): 19.98
Crystal system: tetragonal
DOS(E_F) (states/eV per cell): 3.95
Total moment (Bohr magnetons per cell): 0.0

a b c (Å): 4.3327 4.3327 4.2581
angles (deg): 90.00 90.00 90.00
Closest atoms and distances in Å follow each position.
Fractional coordinates of all 4 atoms:
Hf (0.0000, 0.5000, 0.0000)  4 In 3.04, 4 Zn 3.04, 4 Hf 3.06
Hf (0.5000, 0.0000, 0.0000)  4 In 3.04, 4 Zn 3.04, 4 Hf 3.06
Zn (0.0000, 0.0000, 0.5000)  8 Hf 3.04, 4 In 3.06
In (0.5000, 0.5000, 0.5000)  8 Hf 3.04, 4 Zn 3.06


# 4
A relaxed structure of YbGdCd2, computed with PBE.

## Properties
Calculated formation energy (eV/f.u.): -1.5
Energy (eV/atom): -4.74
Calculated volume (A^3/atom): 26.95
Crystal system: cubic
DOS(E_F) (states/eV per cell): 13.75
Total moment (Bohr magnetons per cell): 7.5

a b c (Å): 5.3423 5.3423 5.3423
angles (deg): 60.00 60.00 60.00
Closest atoms and distances in Å follow each position.
Fractional coordinates of all 4 atoms:
Yb (0.0000, 0.0000, 0.0000)  8 Cd 3.27
Gd (0.5000, 0.5000, 0.5000)  8 Cd 3.27
Cd (0.2500, 0.2500, 0.2500)  4 Gd 3.27, 4 Yb 3.27
Cd (0.7500, 0.7500, 0.7500)  4 Gd 3.27, 4 Yb 3.27


# 5
A relaxed structure of Y5Au2, computed with PBE.

## Properties
Calculated formation energy (eV/f.u.): -3.7
Energy (eV/atom): -6.08
Calculated volume (A^3/atom): 28.42
Crystal system: monoclinic
DOS(E_F) (states/eV per cell): 16.56
Total moment (Bohr magnetons per cell): 0.0

a b c (Å): 9.0123 9.0123 7.0218
angles (deg): 95.31 95.31 44.52
Closest atoms and distances in Å follow each position.
Fractional coordinates of all 14 atoms:
Y (0.0503, 0.9497, 0.7500)  4 Au 2.93-3.01
Y (0.1646, 0.2813, 0.2979)  3 Au 2.94-3.24
Y (0.2813, 0.1646, 0.7979)  3 Au 2.94-3.24
Y (0.2838, 0.5281, 0.0531)  2 Au 2.89-2.99
Y (0.4719, 0.7162, 0.4469)  2 Au 2.89-2.99
Y (0.5281, 0.2838, 0.5531)  2 Au 2.89-2.99
Y (0.7162, 0.4719, 0.9469)  2 Au 2.89-2.99
Y (0.7187, 0.8354, 0.2021)  3 Au 2.94-3.24
Y (0.8354, 0.7187, 0.7021)  3 Au 2.94-3.24
Y (0.9497, 0.0503, 0.2500)  4 Au 2.93-3.01
Au (0.1037, 0.6736, 0.4420)  7 Y 2.89-3.24
Au (0.3264, 0.8963, 0.0580)  7 Y 2.89-3.24
Au (0.6736, 0.1037, 0.9420)  7 Y 2.89-3.24
Au (0.8963, 0.3264, 0.5580)  7 Y 2.89-3.24


# 6
A relaxed structure of Tb5Nd3Tl, computed with PBE.

## Properties
Calculated formation energy (eV/f.u.): 2.6
Energy (eV/atom): -4.13
Calculated volume (A^3/atom): 35.75
Crystal system: monoclinic
DOS(E_F) (states/eV per cell): 25.03
Total moment (Bohr magnetons per cell): 0.0

a b c (Å): 7.3503 7.3503 12.6283
angles (deg): 95.40 95.40 71.75
Closest atoms and distances in Å follow each position.
Fractional coordinates of all 18 atoms:
Tb (0.0177, 0.4082, 0.8034)  1 Tl 3.12, 3 Tb 3.21-3.49, 1 Nd 3.48
Tb (0.0433, 0.0433, 0.2556)  1 Tl 3.03
Tb (0.1758, 0.8242, 0.0000)  1 Nd 2.79, 1 Tb 3.03
Tb (0.2497, 0.2497, 0.0506)  1 Nd 3.12, 4 Tb 3.21-3.33
Tb (0.4082, 0.0177, 0.8034)  1 Tl 3.12, 3 Tb 3.21-3.49, 1 Nd 3.48
Tb (0.5918, 0.9823, 0.1966)  1 Tl 3.12, 3 Tb 3.21-3.49, 1 Nd 3.48
Tb (0.7503, 0.7503, 0.9494)  1 Nd 3.12, 4 Tb 3.21-3.33
Tb (0.8242, 0.1758, 0.0000)  1 Nd 2.79, 1 Tb 3.03
Tb (0.9567, 0.9567, 0.7444)  1 Tl 3.03
Tb (0.9823, 0.5918, 0.1966)  1 Tl 3.12, 3 Tb 3.21-3.49, 1 Nd 3.48
Nd (0.1620, 0.1620, 0.5437)  1 Tl 3.28
Nd (0.4543, 0.4543, 0.7459)  2 Nd 3.19-3.21, 1 Tl 3.25, 2 Tb 3.48
Nd (0.5000, 0.5000, 0.0000)  4 Tb 2.79-3.12
Nd (0.5000, 0.5000, 0.5000)  2 Tl 3.06, 2 Nd 3.21
Nd (0.5457, 0.5457, 0.2541)  2 Nd 3.19-3.21, 1 Tl 3.25, 2 Tb 3.48
Nd (0.8380, 0.8380, 0.4563)  1 Tl 3.28
Tl (0.2947, 0.2947, 0.3305)  3 Tb 3.03-3.12, 3 Nd 3.06-3.28
Tl (0.7053, 0.7053, 0.6695)  3 Tb 3.03-3.12, 3 Nd 3.06-3.28


# 7
A relaxed structure of K3UCr2Te6, computed with PBE.

## Properties
Energy (eV/atom): -5.03
Formation energy (no corrections) (eV per atom): -0.65
Calculated volume (A^3/atom): 32.27
Crystal system: monoclinic
DOS(E_F) (states/eV per cell): 7.78
Total moment (Bohr magnetons per cell): 9.0

a b c (Å): 7.3747 7.3747 8.5823
angles (deg): 98.29 98.29 119.96
Closest atoms and distances in Å follow each position.
Fractional coordinates of all 12 atoms:
K (0.0000, 0.0000, 0.0000)  6 Te 3.43-3.58
K (0.3399, 0.6601, 0.0000)  6 Te 3.46-3.59
K (0.6601, 0.3399, 0.0000)  6 Te 3.46-3.59
U (0.5000, 0.5000, 0.5000)  6 Te 3.06
Cr (0.1672, 0.8328, 0.5000)  6 Te 2.86
Cr (0.8328, 0.1672, 0.5000)  6 Te 2.86
Te (0.0798, 0.4354, 0.3068)  2 Cr 2.86, 1 U 3.06
Te (0.2082, 0.2082, 0.6912)  2 Cr 2.86, 1 U 3.06
Te (0.4354, 0.0798, 0.3068)  2 Cr 2.86, 1 U 3.06
Te (0.5646, 0.9202, 0.6932)  2 Cr 2.86, 1 U 3.06
Te (0.7918, 0.7918, 0.3088)  2 Cr 2.86, 1 U 3.06
Te (0.9202, 0.5646, 0.6932)  2 Cr 2.86, 1 U 3.06


# 8
A relaxed structure of BaCa2La, computed with PBE.

## Properties
Calculated formation energy (eV/f.u.): 0.5
Energy (eV/atom): -2.59
Polymorph energy (0 for the lowest one) (meV per atom): 49.1
Calculated volume (A^3/atom): 44.13
Crystal system: orthorhombic
DOS(E_F) (states/eV per cell): 4.81
Total moment (Bohr magnetons per cell): 0.0

a b c (Å): 7.4670 7.4670 7.4670
angles (deg): 146.06 129.90 61.90
Closest atoms and distances in Å follow each position.
Fractional coordinates of all 4 atoms:
Ba (0.0000, 0.0000, 0.0000)  4 La 3.84, 4 Ca 3.96
Ca (0.2580, 0.7580, 0.5000)  2 La 3.79, 4 Ca 3.85, 2 Ba 3.96
Ca (0.7420, 0.2420, 0.5000)  2 La 3.79, 4 Ca 3.85, 2 Ba 3.96
La (0.5000, 0.5000, 0.0000)  4 Ca 3.79, 4 Ba 3.84